Record 1
80
Lattice="-6.6054 6.6054 6.6054 6.6054 -6.6054 6.6054 6.6054 6.6054 -6.6054" Properties=species:S:1:pos:R:3 comment="Pr3Zr3W2N12, optimized geometry, DFT PBE-GGA" magmom_total_mub_per_atom=0.015 pbc="T T T"
N 4.0060 -3.6766 8.0392
N -0.3739 0.7033 1.8690
N -2.5994 3.6766 8.0392
N 0.3739 0.7033 8.4744
N -0.7033 1.8690 6.2316
N -1.4337 2.5995 10.2821
N 2.9288 -1.4337 9.2049
N 1.8690 -0.3739 0.7033
N 3.6766 -1.4337 4.0060
N 1.8690 0.3739 5.9022
N 0.7033 1.8690 -0.3739
N -1.4337 4.0060 3.6766
N 1.4337 2.5995 3.6766
N 5.9022 -1.8690 6.2316
N -3.6766 8.0392 4.0060
N -1.8690 6.2316 5.9022
N 3.6766 1.4337 2.5995
N 4.7364 0.3739 7.3087
N 0.7033 4.7364 6.2316
N 8.0392 -2.5994 3.6766
N 6.2316 -0.7033 1.8690
N 2.5994 2.9288 8.0392
N 0.3739 5.9022 1.8690
N 2.5995 3.6766 1.4337
N 4.0060 2.9288 5.1717
N 6.2316 0.7033 4.7364
N 4.0060 3.6766 -1.4337
N 0.3739 7.3087 4.7364
N -1.4337 9.2049 2.9288
N 5.9022 1.8690 0.3739
N 1.8690 6.2316 -0.7033
N 2.9288 5.1717 4.0060
N 8.4744 0.3739 0.7033
N 10.2821 -1.4337 2.5995
N 0.7033 8.4744 0.3739
N 5.1717 4.0060 2.9288
N 8.0392 2.5994 2.9288
N 5.9022 4.7364 6.9793
N 4.7364 6.2316 0.7033
N 2.9288 8.0392 2.5994
N 3.6766 8.0392 -2.5994
N 4.7364 6.9793 5.9022
N 8.0392 4.0060 -3.6766
N 7.3087 4.7364 0.3739
N 6.2316 5.9022 -1.8690
N 9.2049 2.9288 -1.4337
N 2.5995 10.2821 -1.4337
N 6.9793 5.9022 4.7364
Pr 1.6514 0.0000 3.3027
Pr 3.3027 -1.6514 6.6054
Pr 0.0000 3.3027 1.6514
Pr 0.0000 3.3027 8.2568
Pr -1.6514 6.6054 3.3027
Pr 3.3027 1.6514 0.0000
Pr 3.3027 4.9541 6.6054
Pr 8.2568 0.0000 3.3027
Pr 6.6054 3.3027 -1.6514
Pr 6.6054 3.3027 4.9541
Pr 3.3027 8.2568 0.0000
Pr 4.9541 6.6054 3.3027
W 0.0000 0.0000 0.0000
W -3.3027 3.3027 3.3027
W 3.3027 -3.3027 3.3027
W 0.0000 0.0000 6.6054
W 3.3027 3.3027 -3.3027
W 0.0000 6.6054 0.0000
W 6.6054 0.0000 0.0000
W 3.3027 3.3027 3.3027
Zr -3.3027 4.9541 6.6054
Zr 1.6514 0.0000 9.9082
Zr 0.0000 3.3027 4.9541
Zr 6.6054 -3.3027 4.9541
Zr 4.9541 0.0000 3.3027
Zr 3.3027 1.6514 6.6054
Zr 3.3027 4.9541 0.0000
Zr 1.6514 6.6054 3.3027
Zr 0.0000 9.9082 1.6514
Zr 6.6054 3.3027 1.6514
Zr 4.9541 6.6054 -3.3027
Zr 9.9082 1.6514 0.0000



Record 2
4
Lattice="-1.2132 -3.9022 -0.1824 -0.2506 -2.2260 3.4227 -3.6599 -1.0751 1.4772" Properties=species:S:1:pos:R:3 comment="NaSiNiB, optimized geometry, DFT PBE-GGA" de_polymorph_ev_per_atom=0.2196 magmom_total_mub_per_atom=0.001 pbc="T T T"
B -1.2809 -1.8008 1.1794
Na -3.8428 -5.4025 3.5381
Ni -2.5618 -3.6017 2.3587
Si 0.0000 0.0000 0.0000



Record 3
4
Lattice="-0.5662 -3.5050 2.0957 -1.5931 0.1054 3.8011 -3.8169 -1.4045 0.6751" Properties=species:S:1:pos:R:3 comment="BeCoNiSn, optimized geometry, DFT PBE-GGA" de_polymorph_ev_per_atom=0.0000 magmom_total_mub_per_atom=0.176 pbc="T T T"
Be -2.9881 -2.4020 3.2859
Co -4.4822 -3.6031 4.9289
Ni -1.4941 -1.2010 1.6430
Sn 0.0000 0.0000 0.0000



Record 4
8
Lattice="3.6081 0.0000 0.0000 0.0000 3.6081 0.0000 0.0000 0.0000 16.4576" Properties=species:S:1:pos:R:3 comment="Rb2Pm3F3, optimized geometry, DFT PBE-GGA" magmom_total_mub_per_atom=0.069 pbc="T T T"
F 1.8040 1.8040 0.0000
F 0.0000 0.0000 8.2288
F 1.8040 1.8040 8.2288
Pm 0.0000 0.0000 0.0000
Pm 0.0000 0.0000 3.3027
Pm 0.0000 0.0000 13.1549
Rb 1.8040 0.0000 6.5955
Rb 0.0000 1.8040 9.8621



Record 5
DFT (PBE-GGA) results for an optimized crystal structure of TlCu.

extended XYZ file:
```
2
Lattice="0.0000 3.0325 3.0325 3.0325 0.0000 3.0325 3.0325 3.0325 0.0000" Properties=species:S:1:pos:R:3 pbc="T T T"
Cu 0.0000 0.0000 0.0000
Tl 1.5162 1.5162 1.5162
```



Record 6
11
Lattice="-5.4407 -0.8891 6.0218 -5.8114 -4.4339 3.6361 6.1195 -2.3400 2.5259" Properties=species:S:1:pos:R:3 comment="Dy4InGe4Ir2, optimized geometry, DFT PBE-GGA" magmom_total_mub_per_atom=0.001 pbc="T T T"
Dy -3.4613 -1.9999 3.5094
Dy -4.2418 -4.0313 6.6492
Dy -0.8907 -3.6317 5.5346
Dy -1.6712 -5.6632 8.6744
Ge -0.7000 -1.6506 2.5613
Ge -8.4490 -5.7757 9.8949
Ge 3.3165 -1.8873 2.2889
Ge -4.4326 -6.0125 9.6225
In 0.0000 0.0000 0.0000
Ir -6.5051 -5.0248 8.4770
Ir 1.3726 -2.6383 3.7068



Record 7
4
Lattice="1.9301 -4.1643 -0.5851 -0.9953 -3.4430 2.9264 -2.5820 -3.5680 -1.4182" Properties=species:S:1:pos:R:3 comment="TaNiHgAs, optimized geometry, DFT PBE-GGA" de_polymorph_ev_per_atom=0.3056 magmom_total_mub_per_atom=0.001 pbc="T T T"
As 0.0000 0.0000 0.0000
Hg -0.4118 -2.7938 0.2308
Ni -1.2354 -8.3815 0.6923
Ta -0.8236 -5.5877 0.4615



Record 8
4
Lattice="3.6049 -2.0545 2.0644 0.0616 -4.6058 0.5107 2.9430 -2.5687 -2.4936" Properties=species:S:1:pos:R:3 comment="ZnCdCuAs, optimized geometry, DFT PBE-GGA" de_polymorph_ev_per_atom=0.0280 pbc="T T T"
As 0.0000 0.0000 0.0000
Cd 1.6524 -2.3073 0.0204
Cu 4.9571 -6.9218 0.0611
Zn 3.3047 -4.6145 0.0408



Number 1: DFT total energy -9.047 eV per atom. Number 2: DFT total energy -3.826 eV per atom. Number 3: DFT total energy -5.168 eV per atom. Number 4: DFT total energy -3.832 eV per atom. Number 5: DFT total energy -2.439 eV per atom. Number 6: DFT total energy -6.048 eV per atom. Number 7: DFT total energy -4.946 eV per atom. Number 8: DFT total energy -2.410 eV per atom.